Model A:
# BeAlRu

An optimized crystal structure of BeAlRu (GGA-PBE, Alexandria).

Cell and atoms, written as POSCAR:
```
BeAlRu
1.0
3.062 0.000 -0.041
0.000 3.930 0.000
-1.447 0.000 6.082
Al Ru Be
2 2 2
Direct
0.920 0.250 0.841 Al
0.080 0.750 0.159 Al
0.399 0.750 0.797 Ru
0.601 0.250 0.203 Ru
0.250 0.250 0.502 Be
0.750 0.750 0.498 Be
```

Properties
Size of the total moment in μB per formula unit: 0.0
Symmetry: Cmcm

***

Model B:
# BeAlRu

An optimized crystal structure of BeAlRu (GGA-PBE, Alexandria).

Cell and atoms, written as POSCAR:
```
BeAlRu
1.0
3.810 0.000 0.000
1.905 3.299 0.000
1.905 1.100 3.111
Al Ru Be
1 1 1
Direct
0.500 0.500 0.500 Al
0.000 0.000 0.000 Ru
0.750 0.750 0.750 Be
```

Properties
Size of the total moment in μB per formula unit: 0.0
Symmetry: F-43m

***

Model C:
# BeAlRu

An optimized crystal structure of BeAlRu (GGA-PBE, Alexandria).

Cell and atoms, written as POSCAR:
```
BeAlRu
1.0
3.880 0.000 0.000
-1.940 3.360 0.000
0.000 0.000 2.835
Ru Al Be
1 1 1
Direct
0.333 0.667 0.595 Ru
0.000 0.000 0.071 Al
0.667 0.333 0.334 Be
```

Properties
Size of the total moment in μB per formula unit: 0.0
Symmetry: P3m1

***

Model D:
# BeAlRu

An optimized crystal structure of BeAlRu (GGA-PBE, Alexandria).

Cell and atoms, written as POSCAR:
```
BeAlRu
1.0
3.964 0.000 0.000
1.982 3.433 0.000
1.982 1.144 3.237
Al Ru Be
1 1 1
Direct
0.000 0.000 0.000 Al
0.750 0.750 0.750 Ru
0.500 0.500 0.500 Be
```

Properties
Size of the total moment in μB per formula unit: 0.0
Symmetry: F-43m

***

Verdict on stability: model A comes out on top.

***

Model A:
# BeAlRu3

An optimized crystal structure of BeAlRu3 (GGA-PBE, Alexandria).

Cell and atoms, written as POSCAR:
```
BeAlRu3
1.0
4.391 0.000 0.000
0.000 4.391 0.000
0.000 0.000 4.391
Be Ru Al
1 3 1
Direct
0.500 0.500 0.500 Be
0.000 0.000 0.500 Ru
0.000 0.500 0.000 Ru
0.500 0.000 0.000 Ru
0.000 0.000 0.000 Al
```

Properties
Size of the total moment in μB per formula unit: 1.7
Symmetry: Pm-3m

***

Model B:
# BeAlRu3

An optimized crystal structure of BeAlRu3 (GGA-PBE, Alexandria).

Cell and atoms, written as POSCAR:
```
BeAlRu3
1.0
4.102 0.000 0.000
0.000 4.102 0.000
0.000 0.000 4.102
Be Ru Al
1 3 1
Direct
0.000 0.000 0.000 Be
0.000 0.000 0.500 Ru
0.000 0.500 0.000 Ru
0.500 0.000 0.000 Ru
0.500 0.500 0.500 Al
```

Properties
Size of the total moment in μB per formula unit: 0.8
Symmetry: Pm-3m

***

Verdict on stability: model B comes out on top.

***

Model A:
# BeAl2S

An optimized crystal structure of BeAl2S (GGA-PBE, Alexandria).

Cell and atoms, written as POSCAR:
```
BeAl2S
1.0
0.000 3.099 3.099
3.099 0.000 3.099
3.099 3.099 0.000
Be Al S
1 2 1
Direct
0.000 0.000 0.000 Be
0.750 0.750 0.750 Al
0.250 0.250 0.250 Al
0.500 0.500 0.500 S
```

Properties
Size of the total moment in μB per formula unit: 0.0
Symmetry: Fm-3m

***

Model B:
# BeAl2S

An optimized crystal structure of BeAl2S (GGA-PBE, Alexandria).

Cell and atoms, written as POSCAR:
```
BeAl2S
1.0
5.703 0.000 0.000
0.000 5.703 0.000
2.851 2.851 4.950
Be Al S
2 4 2
Direct
0.500 0.500 0.000 Be
0.250 0.750 0.500 Be
0.375 0.386 0.750 Al
0.614 0.125 0.250 Al
0.136 0.625 0.250 Al
0.875 0.864 0.750 Al
0.750 0.250 0.500 S
0.000 0.000 0.000 S
```

Properties
Size of the total moment in μB per formula unit: 0.0
Symmetry: I-42d

***

Verdict on stability: model B comes out on top.

***

Model A:
# Be2AlSb

An optimized crystal structure of Be2AlSb (GGA-PBE, Alexandria).

Cell and atoms, written as POSCAR:
```
Be2AlSb
1.0
-0.065 0.248 -2.914
3.096 -1.878 -0.229
-3.090 -5.050 -0.360
Be Al Sb
2 1 1
Direct
0.000 0.000 0.934 Be
0.000 0.000 0.566 Be
0.500 0.500 0.750 Al
0.500 0.500 0.250 Sb
```

Properties
Size of the total moment in μB per formula unit: 0.0
Symmetry: Pmmm

***

Model B:
# Be2AlSb

An optimized crystal structure of Be2AlSb (GGA-PBE, Alexandria).

Cell and atoms, written as POSCAR:
```
Be2AlSb
1.0
-1.052 -3.612 1.991
1.590 -2.499 3.057
-2.560 1.730 4.535
Be Al Sb
2 1 1
Direct
0.998 0.998 0.090 Be
0.502 0.502 0.410 Be
0.250 0.250 0.250 Al
0.750 0.750 0.750 Sb
```

Properties
Size of the total moment in μB per formula unit: 0.0
Symmetry: C2/m

***

Verdict on stability: model B comes out on top.

***

Model A:
# Be2AlSb

An optimized crystal structure of Be2AlSb (GGA-PBE, Alexandria).

Cell and atoms, written as POSCAR:
```
Be2AlSb
1.0
4.691 0.099 0.000
-1.171 4.544 0.000
0.000 0.000 2.923
Be Sb Al
2 1 1
Direct
0.500 0.500 0.000 Be
0.000 0.000 0.000 Be
0.500 0.000 0.500 Sb
0.000 0.500 0.500 Al
```

Properties
Size of the total moment in μB per formula unit: 0.0
Symmetry: Cmmm

***

Model B:
# Be2AlSb

An optimized crystal structure of Be2AlSb (GGA-PBE, Alexandria).

Cell and atoms, written as POSCAR:
```
Be2AlSb
1.0
-1.903 -0.353 3.146
-0.893 -3.363 1.240
3.688 -1.422 4.198
Be Al Sb
2 1 1
Direct
0.033 0.033 0.902 Be
0.705 0.705 0.886 Be
0.289 0.289 0.141 Al
0.474 0.474 0.571 Sb
```

Properties
Size of the total moment in μB per formula unit: 0.0
Symmetry: Cm

***

Model C:
# Be2AlSb

An optimized crystal structure of Be2AlSb (GGA-PBE, Alexandria).

Cell and atoms, written as POSCAR:
```
Be2AlSb
1.0
5.809 -0.036 -0.003
3.663 4.508 0.003
-4.778 -2.146 2.511
Be Sb Al
2 1 1
Direct
0.078 0.078 0.000 Be
0.184 0.684 0.500 Be
0.487 0.487 0.000 Sb
0.751 0.251 0.500 Al
```

Properties
Size of the total moment in μB per formula unit: 0.0
Symmetry: Imm2

***

Model D:
# Be2AlSb

An optimized crystal structure of Be2AlSb (GGA-PBE, Alexandria).

Cell and atoms, written as POSCAR:
```
Be2AlSb
1.0
1.482 1.479 3.938
-2.890 1.488 3.054
-0.753 -2.373 3.700
Sb Be Al
1 2 1
Direct
0.500 0.500 0.500 Sb
0.750 0.750 0.750 Be
0.250 0.250 0.250 Be
0.000 0.000 0.000 Al
```

Properties
Size of the total moment in μB per formula unit: 0.0
Symmetry: Fm-3m

***

Verdict on stability: model B comes out on top.

***

Model A:
# Be2AlSb

An optimized crystal structure of Be2AlSb (GGA-PBE, Alexandria).

Cell and atoms, written as POSCAR:
```
Be2AlSb
1.0
-1.322 2.765 -3.301
-4.140 -0.380 -1.734
-3.086 3.176 0.822
Be Al Sb
2 1 1
Direct
0.250 0.250 0.250 Be
0.000 0.000 0.000 Be
0.500 0.500 0.500 Al
0.750 0.750 0.750 Sb
```

Properties
Size of the total moment in μB per formula unit: 0.0
Symmetry: F-43m

***

Model B:
# Be2AlSb

An optimized crystal structure of Be2AlSb (GGA-PBE, Alexandria).

Cell and atoms, written as POSCAR:
```
Be2AlSb
1.0
3.693 0.000 0.000
0.000 2.969 0.019
0.000 0.594 5.900
Be Al Sb
2 1 1
Direct
0.000 0.255 0.571 Be
0.000 0.245 0.929 Be
0.500 0.750 0.750 Al
0.500 0.250 0.250 Sb
```

Properties
Size of the total moment in μB per formula unit: 0.0
Symmetry: P2/m

***

Verdict on stability: model B comes out on top.

***

Model A:
# BeAl3Sb

An optimized crystal structure of BeAl3Sb (GGA-PBE, Alexandria).

Cell and atoms, written as POSCAR:
```
BeAl3Sb
1.0
5.325 0.000 0.000
0.000 5.325 0.000
0.000 0.000 5.325
Al Sb Be
3 1 1
Direct
0.000 0.000 0.500 Al
0.000 0.500 0.000 Al
0.500 0.000 0.000 Al
0.000 0.000 0.000 Sb
0.500 0.500 0.500 Be
```

Properties
Size of the total moment in μB per formula unit: 0.0
Symmetry: Pm-3m

***

Model B:
# BeAl3Sb

An optimized crystal structure of BeAl3Sb (GGA-PBE, Alexandria).

Cell and atoms, written as POSCAR:
```
BeAl3Sb
1.0
-0.422 3.639 -2.663
-3.756 1.197 2.230
2.496 2.416 2.906
Al Be Sb
3 1 1
Direct
0.500 0.000 0.000 Al
0.000 0.500 0.000 Al
0.000 0.000 0.500 Al
0.000 0.000 0.000 Be
0.500 0.500 0.500 Sb
```

Properties
Size of the total moment in μB per formula unit: 0.0
Symmetry: Pm-3m

***

Verdict on stability: model B comes out on top.

***

Model A:
# Be3AlSb

An optimized crystal structure of Be3AlSb (GGA-PBE, Alexandria).

Cell and atoms, written as POSCAR:
```
Be3AlSb
1.0
-0.056 3.027 3.555
3.290 -2.498 2.178
3.313 2.531 -2.102
Be Al Sb
3 1 1
Direct
0.500 0.000 0.000 Be
0.000 0.000 0.500 Be
0.000 0.500 0.000 Be
0.500 0.500 0.500 Al
0.000 0.000 0.000 Sb
```

Properties
Size of the total moment in μB per formula unit: 0.0
Symmetry: Pm-3m

***

Model B:
# Be3AlSb

An optimized crystal structure of Be3AlSb (GGA-PBE, Alexandria).

Cell and atoms, written as POSCAR:
```
Be3AlSb
1.0
-0.640 -2.754 -3.409
2.497 -3.060 2.003
-3.601 -1.633 1.995
Be Al Sb
3 1 1
Direct
0.500 0.000 0.000 Be
0.000 0.500 0.000 Be
0.000 0.000 0.500 Be
0.000 0.000 0.000 Al
0.500 0.500 0.500 Sb
```

Properties
Size of the total moment in μB per formula unit: 0.0
Symmetry: Pm-3m

***

Verdict on stability: model B comes out on top.

***

Model A:
# BeAlSb2Te

An optimized crystal structure of BeAlSb2Te (GGA-PBE, Alexandria).

Cell and atoms, written as POSCAR:
```
BeAlSb2Te
1.0
5.267 0.000 0.000
0.000 5.267 0.000
0.000 0.000 5.306
Sb Al Te Be
2 1 1 1
Direct
0.500 0.000 0.000 Sb
0.000 0.500 0.000 Sb
0.000 0.000 0.000 Al
0.000 0.000 0.500 Te
0.500 0.500 0.500 Be
```

Properties
Size of the total moment in μB per formula unit: 0.0
Symmetry: P4/mmm

***

Model B:
# BeAlSb2Te

An optimized crystal structure of BeAlSb2Te (GGA-PBE, Alexandria).

Cell and atoms, written as POSCAR:
```
BeAlSb2Te
1.0
4.798 0.000 0.000
0.000 4.798 0.000
0.000 0.000 5.451
Te Sb Al Be
1 2 1 1
Direct
0.000 0.000 0.500 Te
0.000 0.500 0.000 Sb
0.500 0.000 0.000 Sb
0.500 0.500 0.500 Al
0.000 0.000 0.000 Be
```

Properties
Size of the total moment in μB per formula unit: 0.0
Symmetry: P4/mmm

***

Verdict on stability: model B comes out on top.

***

Model A:
# BeAlSbTe2

An optimized crystal structure of BeAlSbTe2 (GGA-PBE, Alexandria).

Cell and atoms, written as POSCAR:
```
BeAlSbTe2
1.0
5.325 0.000 0.000
0.000 5.325 0.000
0.000 0.000 5.257
Te Be Al Sb
2 1 1 1
Direct
0.000 0.500 0.000 Te
0.500 0.000 0.000 Te
0.500 0.500 0.500 Be
0.000 0.000 0.000 Al
0.000 0.000 0.500 Sb
```

Properties
Size of the total moment in μB per formula unit: 0.0
Symmetry: P4/mmm

***

Model B:
# BeAlSbTe2

An optimized crystal structure of BeAlSbTe2 (GGA-PBE, Alexandria).

Cell and atoms, written as POSCAR:
```
BeAlSbTe2
1.0
-3.600 -2.308 2.994
3.281 0.145 4.058
-1.685 4.202 1.213
Al Te Sb Be
1 2 1 1
Direct
0.500 0.500 0.500 Al
0.000 0.500 0.000 Te
0.500 0.000 0.000 Te
0.000 0.000 0.500 Sb
0.000 0.000 0.000 Be
```

Properties
Size of the total moment in μB per formula unit: 0.0
Symmetry: P4/mmm

***

Verdict on stability: model B comes out on top.

***

Model A:
# Sc2BeAl

An optimized crystal structure of Sc2BeAl (GGA-PBE, Alexandria).

Cell and atoms, written as POSCAR:
```
Sc2BeAl
1.0
-2.180 -1.036 -5.330
-2.630 -4.315 -2.949
-5.149 -1.135 -2.537
Sc Al Be
2 1 1
Direct
0.021 0.021 0.021 Sc
0.223 0.223 0.223 Sc
0.449 0.449 0.449 Al
0.808 0.808 0.808 Be
```

Properties
Size of the total moment in μB per formula unit: 0.0
Symmetry: R3m

***

Model B:
# Sc2BeAl

An optimized crystal structure of Sc2BeAl (GGA-PBE, Alexandria).

Cell and atoms, written as POSCAR:
```
Sc2BeAl
1.0
3.092 0.000 0.000
0.000 4.222 0.000
0.000 0.000 5.739
Al Sc Be
1 2 1
Direct
0.000 0.000 0.489 Al
0.500 0.500 0.271 Sc
0.000 0.000 0.973 Sc
0.500 0.500 0.767 Be
```

Properties
Size of the total moment in μB per formula unit: 0.0
Symmetry: Pmm2

***

Verdict on stability: model A comes out on top.

***

Model A:
# ScBeAl

An optimized crystal structure of ScBeAl (GGA-PBE, Alexandria).

Cell and atoms, written as POSCAR:
```
ScBeAl
1.0
5.794 0.025 -0.027
5.038 2.861 -0.026
0.755 0.200 2.829
Be Sc Al
1 1 1
Direct
0.346 0.346 0.654 Be
0.678 0.678 0.322 Sc
0.976 0.976 0.024 Al
```

Properties
Size of the total moment in μB per formula unit: 0.3
Symmetry: I4mm

***

Model B:
# ScBeAl

An optimized crystal structure of ScBeAl (GGA-PBE, Alexandria).

Cell and atoms, written as POSCAR:
```
ScBeAl
1.0
-1.732 -3.000 -2.735
2.564 -3.147 -1.733
-0.450 -4.188 1.318
Be Sc Al
1 1 1
Direct
0.500 0.500 0.500 Be
0.750 0.750 0.750 Sc
0.000 0.000 0.000 Al
```

Properties
Size of the total moment in μB per formula unit: 0.0
Symmetry: F-43m

***

Verdict on stability: model A comes out on top.